The following is a PBE calculation of a relaxed structure of PaSi7Ru3, from the Alexandria database.

POSCAR file:
```
PaSi7Ru3
1.0
3.8185 2.2046 6.6539
-3.8185 2.2046 6.6539
0.0000 -4.4092 6.6539
Pa Si Ru
2 14 6
Cartesian
0.0000 0.0000 0.0000
0.0000 0.0000 9.9809
-3.0143 -0.9198 10.5555
-0.7106 -3.0704 9.4063
-0.7106 -1.3388 7.2285
0.0000 0.0000 4.9904
-2.3038 2.1506 9.4063
-0.8041 1.2848 7.2285
-1.5147 -0.0540 12.7332
1.5147 0.0540 7.2286
0.8041 -1.2848 12.7332
2.3038 -2.1506 10.5555
0.0000 0.0000 14.9713
0.7106 1.3388 12.7332
0.7106 3.0704 10.5555
3.0143 0.9198 9.4063
-2.5688 -0.0402 8.3174
-1.2496 -2.2447 11.6444
1.3192 -2.2046 8.3174
-1.3192 2.2046 11.6444
1.2496 2.2447 8.3174
2.5688 0.0402 11.6444
```

Summary:
Space-group type: R-3c (167)
Energy relative to the elements, uncorrected (eV per atom): -0.5844
Calculated total energy (eV per atom): -7.43